[1]
The following is a GGA-PBE calculation of crystalline Cu2SeCl2O2 at its relaxed geometry, from the Alexandria database.

Output
Raw total energy, eV/atom: -3.98
Magnetic moment, μB/f.u.: 0.00
Space-group type: No. 12
Raw formation energy, eV per atom: -0.37

Unit cell a=4.2333 b=4.2333 c=10.2820 alpha=91.05 beta=91.05 gamma=42.91
Fractional positions:
Cu1 0.2356 0.2356 0.2203
Cu2 0.7644 0.7644 0.7797
Se1 0.0000 0.0000 0.0000
Cl1 0.3834 0.3834 0.6497
Cl2 0.6166 0.6166 0.3503
O1 0.1727 0.1727 0.8716
O2 0.8273 0.8273 0.1284

[2]
The following is a GGA-PBE calculation of crystalline Cu5Se4Cl2O12 at its relaxed geometry, from the Alexandria database.

Output
Raw total energy, eV/atom: -4.90
Magnetic moment, μB/f.u.: 2.98
Space-group type: No. 14
Raw formation energy, eV per atom: -0.65

Unit cell a=11.0432 b=8.5089 c=7.6831 alpha=90.00 beta=90.99 gamma=90.00
Fractional positions:
Cu1 0.0000 0.0000 0.0000
Cu2 0.0000 0.5000 0.5000
Cu3 0.1302 0.1379 0.6685
Cu4 0.1302 0.3621 0.1685
Cu5 0.3593 0.5093 0.9201
Cu6 0.3593 0.9907 0.4201
Cu7 0.6407 0.0093 0.5799
Cu8 0.6407 0.4907 0.0799
Cu9 0.8698 0.6379 0.8315
Cu10 0.8698 0.8621 0.3315
Se1 0.1261 0.6927 0.8243
Se2 0.1261 0.8073 0.3243
Se3 0.3202 0.0979 0.0060
Se4 0.3202 0.4021 0.5060
Se5 0.6798 0.5979 0.4940
Se6 0.6798 0.9021 0.9940
Se7 0.8739 0.1927 0.6757
Se8 0.8739 0.3073 0.1757
Cl1 0.4636 0.6120 0.1559
Cl2 0.4636 0.8880 0.6559
Cl3 0.5364 0.1120 0.3441
Cl4 0.5364 0.3880 0.8441
O1 0.0009 0.7286 0.4444
O2 0.0009 0.7714 0.9444
O3 0.0218 0.5446 0.7503
O4 0.0218 0.9554 0.2503
O5 0.2007 0.0300 0.8772
O6 0.2007 0.4700 0.3772
O7 0.2016 0.6007 0.9925
O8 0.2016 0.8993 0.4925
O9 0.2771 0.2130 0.5659
O10 0.2771 0.2870 0.0659
O11 0.2865 0.5165 0.6864
O12 0.2865 0.9835 0.1864
O13 0.7135 0.0165 0.8136
O14 0.7135 0.4835 0.3136
O15 0.7229 0.7130 0.9341
O16 0.7229 0.7870 0.4341
O17 0.7984 0.1007 0.5075
O18 0.7984 0.3993 0.0075
O19 0.7993 0.5300 0.6228
O20 0.7993 0.9700 0.1228
O21 0.9782 0.0446 0.7497
O22 0.9782 0.4554 0.2497
O23 0.9991 0.2286 0.0556
O24 0.9991 0.2714 0.5556